# SiTeC2 PBE relaxed
data_SiTeC2
_chemical_formula_sum 'Si4 Te4 C8'
_cell_length_a 5.041
_cell_length_b 5.041
_cell_length_c 9.094
_cell_angle_alpha 90.00
_cell_angle_beta 90.00
_cell_angle_gamma 90.00
_space_group_name_H-M_alt 'I -4 2 d'
_space_group_IT_number 122
_space_group_name_Hall 'I -4 2bw'
loop_
_atom_site_label
_atom_site_fract_x
_atom_site_fract_y
_atom_site_fract_z
Si1 0.000 0.000 0.000
Te1 0.000 0.000 0.500
C1 0.159 0.250 0.125
# ΔE_f (raw)   1.034 eV/atom
# Mass density   5166 kg/m3
# Density of states at the Fermi level   6.2 states/eV per cell
# Calculated total energy   -5.719 eV per atom
# Excess energy over the best structure of this formula in the dataset   0.0 meV/atom